Model w:
Density functional theory data (PBE) for Zr2W3 after structural relaxation.

```
Zr2W3
1.0
1.536 0.887 11.490
-1.536 0.887 11.490
0.000 -1.774 11.490
Zr W
2 3
Direct
0.097 0.097 0.097 Zr
0.903 0.903 0.903 Zr
0.305 0.305 0.305 W
0.500 0.500 0.500 W
0.695 0.695 0.695 W
```

## Properties
**V**: 93.9 Å³ per cell

---

Model x:
Density functional theory data (PBE) for Zr2W3 after structural relaxation.

```
Zr2W3
1.0
0.000 7.022 2.807
5.026 0.000 2.807
5.026 7.022 0.000
Zr W
4 6
Direct
0.123 0.877 0.272 Zr
0.522 0.978 0.373 Zr
0.877 0.123 0.728 Zr
0.978 0.522 0.127 Zr
0.200 0.200 0.800 W
0.450 0.450 0.050 W
0.466 0.562 0.297 W
0.562 0.466 0.675 W
0.575 0.953 0.688 W
0.953 0.575 0.784 W
```

## Properties
**V**: 198.1 Å³ per cell

---

According to the calculations, the structures order from most to least stable as model x, model w.

---

Model w:
Density functional theory data (PBE) for Y after structural relaxation.

```
Y
1.0
5.632 0.000 0.000
-2.816 4.878 0.000
0.000 0.000 3.520
Y
3
Direct
0.000 0.000 0.000 Y
0.333 0.667 0.500 Y
0.667 0.333 0.500 Y
```

## Properties
**V**: 96.7 Å³ per cell

---

Model x:
Density functional theory data (PBE) for Y after structural relaxation.

```
Y
1.0
1.802 1.040 11.496
-1.802 1.040 11.496
0.000 -2.081 11.496
Y
4
Direct
0.125 0.125 0.125 Y
0.291 0.291 0.291 Y
0.709 0.709 0.709 Y
0.875 0.875 0.875 Y
```

## Properties
**V**: 129.3 Å³ per cell

---

Model y:
Density functional theory data (PBE) for Y after structural relaxation.

```
Y
1.0
0.000 3.509 3.509
3.509 0.000 3.509
3.509 3.509 0.000
Y
2
Direct
0.125 0.125 0.125 Y
0.875 0.875 0.875 Y
```

## Properties
**V**: 86.4 Å³ per cell

---

According to the calculations, the structures order from most to least stable as model x, model w, model y.

---

Model w:
Density functional theory data (PBE) for Y after structural relaxation.

```
Y
1.0
3.420 0.000 0.000
-1.710 2.961 0.000
0.000 0.000 3.310
Y
1
Direct
0.000 0.000 0.000 Y
```

## Properties
**V**: 33.5 Å³ per cell

---

Model x:
Density functional theory data (PBE) for Y after structural relaxation.

```
Y
1.0
3.592 0.000 0.000
-1.796 3.111 0.000
0.000 0.000 11.529
Y
4
Direct
0.000 0.000 0.000 Y
0.000 0.000 0.500 Y
0.333 0.667 0.250 Y
0.667 0.333 0.750 Y
```

## Properties
**V**: 128.8 Å³ per cell

---

According to the calculations, the structures order from most to least stable as model x, model w.

---

Model w:
Density functional theory data (PBE) for Y after structural relaxation.

```
Y
1.0
3.266 0.000 0.000
0.000 3.266 0.000
0.000 0.000 3.266
Y
1
Direct
0.000 0.000 0.000 Y
```

## Properties
**V**: 34.8 Å³ per cell

---

Model x:
Density functional theory data (PBE) for Y after structural relaxation.

```
Y
1.0
-5.002 5.002 5.002
5.002 -5.002 5.002
5.002 5.002 -5.002
Y
8
Direct
0.000 0.000 0.224 Y
0.000 0.000 0.599 Y
0.000 0.224 0.000 Y
0.000 0.599 0.000 Y
0.224 0.000 0.000 Y
0.401 0.401 0.401 Y
0.599 0.000 0.000 Y
0.776 0.776 0.776 Y
```

## Properties
**V**: 500.6 Å³ per cell

---

Model y:
Density functional theory data (PBE) for Y after structural relaxation.

```
Y
1.0
5.762 0.000 0.000
-2.881 4.990 0.000
0.000 0.000 3.132
Y
2
Direct
0.333 0.667 0.000 Y
0.667 0.333 0.000 Y
```

## Properties
**V**: 90.1 Å³ per cell

---

According to the calculations, the structures order from most to least stable as model w, model y, model x.

---

Model w:
Density functional theory data (PBE) for Y7Zn3 after structural relaxation.

```
Y7Zn3
1.0
5.287 0.000 0.000
0.000 1.799 14.061
0.000 -1.799 14.061
Y Zn
7 3
Direct
0.000 0.000 0.000 Y
0.000 0.174 0.174 Y
0.000 0.386 0.386 Y
0.000 0.788 0.788 Y
0.500 0.094 0.094 Y
0.500 0.711 0.711 Y
0.500 0.914 0.914 Y
0.000 0.588 0.588 Zn
0.500 0.317 0.317 Zn
0.500 0.503 0.503 Zn
```

## Properties
**V**: 267.4 Å³ per cell

---

Model x:
Density functional theory data (PBE) for Y7Zn3 after structural relaxation.

```
Y7Zn3
1.0
5.468 0.000 0.000
0.000 1.847 13.664
0.000 -1.847 13.664
Y Zn
7 3
Direct
0.000 0.000 0.000 Y
0.000 0.174 0.174 Y
0.000 0.391 0.391 Y
0.000 0.790 0.790 Y
0.500 0.541 0.541 Y
0.500 0.718 0.718 Y
0.500 0.920 0.920 Y
0.000 0.589 0.589 Zn
0.500 0.128 0.128 Zn
0.500 0.322 0.322 Zn
```

## Properties
**V**: 276.0 Å³ per cell

---

According to the calculations, the structures order from most to least stable as model w, model x.

---

Model w:
Density functional theory data (PBE) for YZn6 after structural relaxation.

```
YZn6
1.0
5.795 0.000 0.000
0.000 5.795 0.000
0.000 0.000 5.795
Y Zn
1 6
Direct
0.000 0.000 0.000 Y
0.194 0.500 0.500 Zn
0.500 0.194 0.500 Zn
0.500 0.500 0.194 Zn
0.500 0.500 0.806 Zn
0.500 0.806 0.500 Zn
0.806 0.500 0.500 Zn
```

## Properties
**V**: 194.6 Å³ per cell

---

Model x:
Density functional theory data (PBE) for YZn6 after structural relaxation.

```
YZn6
1.0
8.329 0.000 0.000
0.000 5.358 0.000
0.000 0.000 10.534
Y Zn
4 24
Direct
0.238 0.250 0.058 Y
0.262 0.750 0.558 Y
0.738 0.250 0.442 Y
0.762 0.750 0.942 Y
0.065 0.750 0.092 Zn
0.067 0.015 0.309 Zn
0.067 0.485 0.309 Zn
0.095 0.250 0.522 Zn
0.135 0.750 0.854 Zn
0.190 0.250 0.756 Zn
0.310 0.750 0.256 Zn
0.365 0.250 0.354 Zn
0.405 0.750 0.022 Zn
0.433 0.515 0.809 Zn
0.433 0.985 0.809 Zn
0.435 0.250 0.592 Zn
0.565 0.750 0.408 Zn
0.567 0.015 0.191 Zn
0.567 0.485 0.191 Zn
0.595 0.250 0.978 Zn
0.635 0.750 0.646 Zn
0.690 0.250 0.744 Zn
0.810 0.750 0.244 Zn
0.865 0.250 0.146 Zn
0.905 0.750 0.478 Zn
0.933 0.515 0.691 Zn
0.933 0.985 0.691 Zn
0.935 0.250 0.908 Zn
```

## Properties
**V**: 470.1 Å³ per cell

---

According to the calculations, the structures order from most to least stable as model x, model w.

---

Model w:
Density functional theory data (PBE) for Y5Zn4 after structural relaxation.

```
Y5Zn4
1.0
8.846 0.000 0.000
-4.423 7.661 0.000
0.000 0.000 6.557
Y Zn
10 8
Direct
0.000 0.286 0.250 Y
0.000 0.714 0.750 Y
0.286 0.000 0.250 Y
0.286 0.286 0.750 Y
0.333 0.667 0.000 Y
0.333 0.667 0.500 Y
0.667 0.333 0.000 Y
0.667 0.333 0.500 Y
0.714 0.000 0.750 Y
0.714 0.714 0.250 Y
0.000 0.000 0.000 Zn
0.000 0.000 0.500 Zn
0.000 0.377 0.750 Zn
0.000 0.623 0.250 Zn
0.377 0.000 0.750 Zn
0.377 0.377 0.250 Zn
0.623 0.000 0.250 Zn
0.623 0.623 0.750 Zn
```

## Properties
**V**: 444.3 Å³ per cell

---

Model x:
Density functional theory data (PBE) for Y5Zn4 after structural relaxation.

```
Y5Zn4
1.0
-4.793 4.793 2.319
4.793 -4.793 2.319
4.793 4.793 -2.319
Y Zn
5 4
Direct
0.000 0.000 0.000 Y
0.326 0.326 0.652 Y
0.326 0.674 0.000 Y
0.674 0.326 0.000 Y
0.674 0.674 0.348 Y
0.000 0.348 0.348 Zn
0.000 0.652 0.652 Zn
0.348 0.000 0.348 Zn
0.652 0.000 0.652 Zn
```

## Properties
**V**: 213.0 Å³ per cell

---

According to the calculations, the structures order from most to least stable as model w, model x.

---

Model w:
Density functional theory data (PBE) for Y4Zn5 after structural relaxation.

```
Y4Zn5
1.0
8.720 0.000 0.000
-4.360 7.551 0.000
0.000 0.000 6.217
Y Zn
8 10
Direct
0.000 0.000 0.000 Y
0.000 0.000 0.500 Y
0.000 0.369 0.250 Y
0.000 0.631 0.750 Y
0.369 0.000 0.250 Y
0.369 0.369 0.750 Y
0.631 0.000 0.750 Y
0.631 0.631 0.250 Y
0.000 0.303 0.750 Zn
0.000 0.697 0.250 Zn
0.303 0.000 0.750 Zn
0.303 0.303 0.250 Zn
0.333 0.667 0.000 Zn
0.333 0.667 0.500 Zn
0.667 0.333 0.000 Zn
0.667 0.333 0.500 Zn
0.697 0.000 0.250 Zn
0.697 0.697 0.750 Zn
```

## Properties
**V**: 409.4 Å³ per cell

---

Model x:
Density functional theory data (PBE) for Y4Zn5 after structural relaxation.

```
Y4Zn5
1.0
-4.643 4.643 2.366
4.643 -4.643 2.366
4.643 4.643 -2.366
Y Zn
4 5
Direct
0.000 0.307 0.307 Y
0.000 0.693 0.693 Y
0.307 0.000 0.307 Y
0.693 0.000 0.693 Y
0.000 0.000 0.000 Zn
0.347 0.347 0.695 Zn
0.347 0.653 0.000 Zn
0.653 0.347 0.000 Zn
0.653 0.653 0.305 Zn
```

## Properties
**V**: 204.1 Å³ per cell

---

According to the calculations, the structures order from most to least stable as model w, model x.

---

Model w:
Density functional theory data (PBE) for Y3Zn5 after structural relaxation.

```
Y3Zn5
1.0
5.809 0.000 0.000
1.977 7.740 0.000
2.603 0.142 7.673
Y Zn
6 10
Direct
0.015 0.449 0.268 Y
0.199 0.085 0.599 Y
0.255 0.822 0.964 Y
0.745 0.178 0.036 Y
0.801 0.915 0.401 Y
0.985 0.551 0.732 Y
0.273 0.192 0.918 Zn
0.288 0.052 0.224 Zn
0.321 0.734 0.369 Zn
0.418 0.463 0.884 Zn
0.464 0.360 0.401 Zn
0.536 0.640 0.599 Zn
0.582 0.537 0.116 Zn
0.679 0.266 0.631 Zn
0.712 0.948 0.776 Zn
0.727 0.808 0.082 Zn
```

## Properties
**V**: 345.0 Å³ per cell

---

Model x:
Density functional theory data (PBE) for Y3Zn5 after structural relaxation.

```
Y3Zn5
1.0
3.581 -4.941 0.000
3.581 4.941 0.000
0.000 0.000 4.791
Y Zn
3 5
Direct
0.000 0.000 0.000 Y
0.278 0.722 0.500 Y
0.722 0.278 0.500 Y
0.000 0.500 0.000 Zn
0.237 0.237 0.500 Zn
0.500 0.000 0.000 Zn
0.500 0.500 0.000 Zn
0.763 0.763 0.500 Zn
```

## Properties
**V**: 169.5 Å³ per cell

---

According to the calculations, the structures order from most to least stable as model x, model w.